Material: LaSiP2Cl
Method: DFT, PBE-GGA
State: relaxed

Structure (CIF):
```
data_LaSiP2Cl
_chemical_formula_sum 'La1 Si1 P2 Cl1'
_space_group_name_H-M_alt 'P 4/m m m'
_space_group_IT_number 123
_space_group_name_Hall '-P 4 2'
_cell_length_a 4.7132
_cell_length_b 4.7132
_cell_length_c 5.3763
_cell_angle_alpha 90.00
_cell_angle_beta 90.00
_cell_angle_gamma 90.00
loop_
_atom_site_label
_atom_site_type_symbol
_atom_site_fract_x
_atom_site_fract_y
_atom_site_fract_z
La1 La 0.0000 0.0000 0.0000
Si1 Si 0.5000 0.5000 0.0000
P1 P 0.0000 0.5000 0.5000
Cl1 Cl 0.0000 0.0000 0.5000
```

uncorrected formation energy: 246 kJ/mol of formula units
energy above the lowest structure with this stoichiometry: 1077 meV/atom
total DFT energy (no corrections): -4.09 eV per atom

---

Material: Tb2Dy3Y4
Method: DFT, PBE-GGA
State: relaxed

Structure (CIF):
```
data_Tb2Dy3Y4
_chemical_formula_sum 'Tb8 Dy12 Y16'
_space_group_name_H-M_alt 'C 1 2/c 1'
_space_group_IT_number 15
_cell_length_a 16.2778
_cell_length_b 11.5743
_cell_length_c 6.1295
_cell_angle_alpha 90.00
_cell_angle_beta 95.91
_cell_angle_gamma 90.00
loop_
_space_group_symop_operation_xyz
'x,y,z'
'-x,-y,-z'
'-x,y,-z+1/2'
'x,-y,z+1/2'
'x+1/2,y+1/2,z'
'-x+1/2,-y+1/2,-z'
'-x+1/2,y+1/2,-z+1/2'
'x+1/2,-y+1/2,z+1/2'
loop_
_atom_site_label
_atom_site_type_symbol
_atom_site_fract_x
_atom_site_fract_y
_atom_site_fract_z
Tb1 Tb 0.1204 0.1430 0.3225
Dy1 Dy 0.0000 0.0943 0.7500
Dy2 Dy 0.1665 0.4024 0.5857
Y1 Y 0.0463 0.3579 0.0136
Y2 Y 0.2126 0.1386 0.8485
```

energy above the lowest structure with this stoichiometry: 78 meV/atom
total DFT energy (no corrections): -5.34 eV per atom
E_form: 9 kJ/mol of atoms

---

Material: CuNiW
Method: DFT, PBE-GGA
State: relaxed

Structure (CIF):
```
data_CuNiW
_chemical_formula_sum 'Cu2 Ni2 W2'
_space_group_name_H-M_alt 'I m m 2'
_space_group_IT_number 44
_cell_length_a 2.6197
_cell_length_b 3.8245
_cell_length_c 7.7454
_cell_angle_alpha 90.00
_cell_angle_beta 90.00
_cell_angle_gamma 90.00
loop_
_space_group_symop_operation_xyz
'x,y,z'
'-x,-y,z'
'-x,y,z'
'x,-y,z'
'x+1/2,y+1/2,z+1/2'
'-x+1/2,-y+1/2,z+1/2'
'-x+1/2,y+1/2,z+1/2'
'x+1/2,-y+1/2,z+1/2'
loop_
_atom_site_label
_atom_site_type_symbol
_atom_site_fract_x
_atom_site_fract_y
_atom_site_fract_z
Cu1 Cu 0.0000 0.0000 0.0000
Ni1 Ni 0.0000 0.0000 0.6646
W1 W 0.0000 0.0000 0.3303
```

energy above the lowest structure with this stoichiometry: 72 meV/atom
total DFT energy (no corrections): -7.44 eV per atom
E_form: 17 kJ/mol of atoms

---

Material: GaSiN
Method: DFT, PBE-GGA
State: relaxed

Structure (CIF):
```
data_GaSiN
_chemical_formula_sum 'Ga4 Si4 N4'
_space_group_name_H-M_alt 'C 1 m 1'
_space_group_IT_number 8
_cell_length_a 10.0916
_cell_length_b 2.8624
_cell_length_c 6.9381
_cell_angle_alpha 90.00
_cell_angle_beta 113.76
_cell_angle_gamma 90.00
loop_
_space_group_symop_operation_xyz
'x,y,z'
'x,-y,z'
'x+1/2,y+1/2,z'
'x+1/2,-y+1/2,z'
loop_
_atom_site_label
_atom_site_type_symbol
_atom_site_fract_x
_atom_site_fract_y
_atom_site_fract_z
Ga1 Ga 0.0000 0.0000 0.0000
Ga2 Ga 0.1532 0.5000 0.7520
Si1 Si 0.3044 0.5000 0.1357
Si2 Si 0.3838 0.0000 0.5680
N1 N 0.3180 0.0000 0.2921
N2 N 0.3273 0.5000 0.6573
```

uncorrected formation energy: -78 kJ/mol of formula units
energy above the lowest structure with this stoichiometry: 143 meV/atom
total DFT energy (no corrections): -5.86 eV per atom

---

Material: Cr3Sn2Se6
Method: DFT, PBE-GGA
State: relaxed

Structure (CIF):
```
data_Cr3Sn2Se6
_chemical_formula_sum 'Cr6 Sn4 Se12'
_space_group_name_H-M_alt 'C 1 2/m 1'
_space_group_IT_number 12
_cell_length_a 6.6355
_cell_length_b 11.5076
_cell_length_c 7.1368
_cell_angle_alpha 90.00
_cell_angle_beta 108.46
_cell_angle_gamma 90.00
loop_
_space_group_symop_operation_xyz
'x,y,z'
'-x,-y,-z'
'-x,y,-z'
'x,-y,z'
'x+1/2,y+1/2,z'
'-x+1/2,-y+1/2,-z'
'-x+1/2,y+1/2,-z'
'x+1/2,-y+1/2,z'
loop_
_atom_site_label
_atom_site_type_symbol
_atom_site_fract_x
_atom_site_fract_y
_atom_site_fract_z
Cr1 Cr 0.0000 0.0000 0.0000
Cr2 Cr 0.0000 0.3308 0.0000
Sn1 Sn 0.0000 0.1671 0.5000
Se1 Se 0.2346 0.1686 0.2063
Se2 Se 0.2367 0.5000 0.1975
```

uncorrected formation energy: -453 kJ/mol of formula units
total DFT energy (no corrections): -5.68 eV per atom

---

Material: TbCe3Dy3Te8
Method: DFT, PBE-GGA
State: relaxed

Structure (CIF):
```
data_TbCe3Dy3Te8
_chemical_formula_sum 'Tb3 Ce9 Dy9 Te24'
_space_group_name_H-M_alt 'R -3 m'
_space_group_IT_number 166
_space_group_name_Hall '-R 3 2"'
_cell_length_a 8.7823
_cell_length_b 8.7823
_cell_length_c 21.7816
_cell_angle_alpha 90.00
_cell_angle_beta 90.00
_cell_angle_gamma 120.00
loop_
_atom_site_label
_atom_site_type_symbol
_atom_site_fract_x
_atom_site_fract_y
_atom_site_fract_z
Tb1 Tb 0.0000 0.0000 0.0000
Ce1 Ce 0.0000 0.5000 0.5000
Dy1 Dy 0.0000 0.5000 0.0000
Te1 Te 0.0000 0.0000 0.2536
Te2 Te 0.0089 0.5044 0.2516
```

uncorrected formation energy: -2004 kJ/mol of formula units
total DFT energy (no corrections): -5.48 eV per atom

---

Material: Sm3TeAsN
Method: DFT, PBE-GGA
State: relaxed

Structure (CIF):
```
data_Sm3TeAsN
_chemical_formula_sum 'Sm6 Te2 As2 N2'
_space_group_name_H-M_alt 'P 1 21/m 1'
_space_group_IT_number 11
_cell_length_a 8.9151
_cell_length_b 4.1717
_cell_length_c 9.3730
_cell_angle_alpha 90.00
_cell_angle_beta 100.15
_cell_angle_gamma 90.00
loop_
_space_group_symop_operation_xyz
'x,y,z'
'-x,-y,-z'
'-x,y+1/2,-z'
'x,-y+1/2,z'
loop_
_atom_site_label
_atom_site_type_symbol
_atom_site_fract_x
_atom_site_fract_y
_atom_site_fract_z
Sm1 Sm 0.0799 0.2500 0.3511
Sm2 Sm 0.3411 0.2500 0.9862
Sm3 Sm 0.3805 0.7500 0.6633
Te1 Te 0.3282 0.7500 0.2889
As1 As 0.1497 0.2500 0.6635
N1 N 0.4112 0.7500 0.9025
```

uncorrected formation energy: -802 kJ/mol of formula units
total DFT energy (no corrections): -6.43 eV per atom

---

Material: BRhCl3
Method: DFT, PBE-GGA
State: relaxed

Structure (CIF):
```
data_BRhCl3
_chemical_formula_sum 'B1 Rh1 Cl3'
_space_group_name_H-M_alt 'P m -3 m'
_space_group_IT_number 221
_space_group_name_Hall '-P 4 2 3'
_cell_length_a 4.7827
_cell_length_b 4.7827
_cell_length_c 4.7827
_cell_angle_alpha 90.00
_cell_angle_beta 90.00
_cell_angle_gamma 90.00
loop_
_atom_site_label
_atom_site_type_symbol
_atom_site_fract_x
_atom_site_fract_y
_atom_site_fract_z
B1 B 0.0000 0.0000 0.0000
Rh1 Rh 0.5000 0.5000 0.5000
Cl1 Cl 0.0000 0.5000 0.5000
```

uncorrected formation energy: 324 kJ/mol of formula units
energy above the lowest structure with this stoichiometry: 0 meV/atom
total DFT energy (no corrections): -3.24 eV per atom

---

Material: CeTlTe2
Method: DFT, PBE-GGA
State: relaxed

Structure (CIF):
```
data_CeTlTe2
_chemical_formula_sum 'Ce1 Tl1 Te2'
_space_group_name_H-M_alt 'P 4/m m m'
_space_group_IT_number 123
_space_group_name_Hall '-P 4 2'
_cell_length_a 3.9509
_cell_length_b 3.9509
_cell_length_c 8.2158
_cell_angle_alpha 90.00
_cell_angle_beta 90.00
_cell_angle_gamma 90.00
loop_
_atom_site_label
_atom_site_type_symbol
_atom_site_fract_x
_atom_site_fract_y
_atom_site_fract_z
Ce1 Ce 0.0000 0.0000 0.0000
Tl1 Tl 0.0000 0.0000 0.5000
Te1 Te 0.5000 0.5000 0.2175
```

uncorrected formation energy: -353 kJ/mol of formula units
total DFT energy (no corrections): -4.56 eV per atom

---

Material: LiTl2PdBr6
Method: DFT, PBE-GGA
State: relaxed

Structure (CIF):
```
data_LiTl2PdBr6
_chemical_formula_sum 'Li6 Tl12 Pd6 Br36'
_space_group_name_H-M_alt 'R -3 m'
_space_group_IT_number 166
_space_group_name_Hall '-R 3 2"'
_cell_length_a 7.3289
_cell_length_b 7.3289
_cell_length_c 38.5647
_cell_angle_alpha 90.00
_cell_angle_beta 90.00
_cell_angle_gamma 120.00
loop_
_atom_site_label
_atom_site_type_symbol
_atom_site_fract_x
_atom_site_fract_y
_atom_site_fract_z
Li1 Li 0.0000 0.0000 0.0796
Tl1 Tl 0.0000 0.0000 0.1954
Tl2 Tl 0.0000 0.0000 0.3832
Pd1 Pd 0.0000 0.0000 0.0000
Pd2 Pd 0.0000 0.0000 0.5000
Br1 Br 0.0011 0.5006 0.2057
Br2 Br 0.0043 0.5021 0.6280
```

uncorrected formation energy: -690 kJ/mol of formula units
total DFT energy (no corrections): -2.90 eV per atom

---

Material: TaCd2Cl
Method: DFT, PBE-GGA
State: relaxed

Structure (CIF):
```
data_TaCd2Cl
_chemical_formula_sum 'Ta2 Cd4 Cl2'
_space_group_name_H-M_alt 'I m m 2'
_space_group_IT_number 44
_cell_length_a 2.9671
_cell_length_b 5.4907
_cell_length_c 10.8987
_cell_angle_alpha 90.00
_cell_angle_beta 90.00
_cell_angle_gamma 90.00
loop_
_space_group_symop_operation_xyz
'x,y,z'
'-x,-y,z'
'-x,y,z'
'x,-y,z'
'x+1/2,y+1/2,z+1/2'
'-x+1/2,-y+1/2,z+1/2'
'-x+1/2,y+1/2,z+1/2'
'x+1/2,-y+1/2,z+1/2'
loop_
_atom_site_label
_atom_site_type_symbol
_atom_site_fract_x
_atom_site_fract_y
_atom_site_fract_z
Ta1 Ta 0.0000 0.0000 0.0000
Cd1 Cd 0.0000 0.0000 0.5158
Cd2 Cd 0.0000 0.5000 0.7341
Cl1 Cl 0.0000 0.5000 0.3203
```

uncorrected formation energy: 31 kJ/mol of formula units
energy above the lowest structure with this stoichiometry: 117 meV/atom
total DFT energy (no corrections): -3.80 eV per atom

---

Material: Tb8Co2Te
Method: DFT, PBE-GGA
State: relaxed

Structure (CIF):
```
data_Tb8Co2Te
_chemical_formula_sum 'Tb16 Co4 Te2'
_space_group_name_H-M_alt 'C 1 2/m 1'
_space_group_IT_number 12
_cell_length_a 8.2795
_cell_length_b 12.7049
_cell_length_c 5.8311
_cell_angle_alpha 90.00
_cell_angle_beta 101.76
_cell_angle_gamma 90.00
loop_
_space_group_symop_operation_xyz
'x,y,z'
'-x,-y,-z'
'-x,y,-z'
'x,-y,z'
'x+1/2,y+1/2,z'
'-x+1/2,-y+1/2,-z'
'-x+1/2,y+1/2,-z'
'x+1/2,-y+1/2,z'
loop_
_atom_site_label
_atom_site_type_symbol
_atom_site_fract_x
_atom_site_fract_y
_atom_site_fract_z
Tb1 Tb 0.0000 0.2485 0.0000
Tb2 Tb 0.1129 0.5000 0.7903
Tb3 Tb 0.2046 0.1346 0.6053
Co1 Co 0.0000 0.3091 0.5000
Te1 Te 0.0000 0.0000 0.0000
```

uncorrected formation energy: -228 kJ/mol of formula units
total DFT energy (no corrections): -5.16 eV per atom